No. 1
{"formula": "Ce2TlCd16", "functional": "PBE", "state": "optimized geometry", "lattice_angstrom": [[5.101, 2.945, 4.972], [-5.101, 2.945, 4.972], [0.000, -5.891, 4.972]], "species": ["Ce", "Ce", "Tl", "Cd", "Cd", "Cd", "Cd", "Cd", "Cd", "Cd", "Cd", "Cd", "Cd", "Cd", "Cd", "Cd", "Cd", "Cd", "Cd"], "fractional_positions": [[0.000, 0.000, 0.000], [0.335, 0.335, 0.335], [0.772, 0.772, 0.772], [0.027, 0.027, 0.501], [0.027, 0.501, 0.027], [0.178, 0.661, 0.661], [0.310, 0.310, 0.834], [0.310, 0.834, 0.310], [0.362, 0.669, 0.972], [0.362, 0.972, 0.669], [0.501, 0.027, 0.027], [0.568, 0.568, 0.568], [0.661, 0.178, 0.661], [0.661, 0.661, 0.178], [0.669, 0.362, 0.972], [0.669, 0.972, 0.362], [0.834, 0.310, 0.310], [0.972, 0.362, 0.669], [0.972, 0.669, 0.362]], "e_form_ev_per_atom": -0.106, "total_magnetization_mub_per_cell": 2.5, "space_group": "R3m"}

---

No. 2
{"formula": "TaReB2Rh", "functional": "PBE", "state": "optimized geometry", "lattice_angstrom": [[4.141, 0.000, 0.000], [0.000, 4.141, 0.000], [0.000, 0.000, 4.667]], "species": ["Ta", "Re", "B", "B", "Rh"], "fractional_positions": [[0.000, 0.000, 0.000], [0.500, 0.500, 0.500], [0.000, 0.500, 0.000], [0.500, 0.000, 0.000], [0.000, 0.000, 0.500]], "e_form_ev_per_atom": 2.031, "total_magnetization_mub_per_cell": 0.0, "space_group": "P4/mmm"}

---

No. 3
{"formula": "CdReCl2", "functional": "PBE", "state": "optimized geometry", "lattice_angstrom": [[1.576, -2.822, 0.000], [1.576, 2.822, 0.000], [0.000, 0.000, 9.470]], "species": ["Cd", "Re", "Cl", "Cl"], "fractional_positions": [[0.000, 0.000, 0.000], [0.500, 0.500, 0.250], [0.000, 0.000, 0.439], [0.500, 0.500, 0.793]], "formation_energy_uncorrected_ev_per_atom": 0.222, "total_magnetization_mub_per_cell": 1.2, "space_group": "Cmm2"}

---

No. 4
{"formula": "CaHo2Hg9", "functional": "PBE", "state": "optimized geometry", "lattice_angstrom": [[4.662, 0.000, 0.000], [0.000, 4.662, 0.000], [0.000, 0.000, 13.618]], "species": ["Ca", "Ho", "Ho", "Hg", "Hg", "Hg", "Hg", "Hg", "Hg", "Hg", "Hg", "Hg"], "fractional_positions": [[0.000, 0.000, 0.000], [0.000, 0.000, 0.335], [0.000, 0.000, 0.665], [0.000, 0.500, 0.172], [0.000, 0.500, 0.500], [0.000, 0.500, 0.828], [0.500, 0.000, 0.172], [0.500, 0.000, 0.500], [0.500, 0.000, 0.828], [0.500, 0.500, 0.000], [0.500, 0.500, 0.338], [0.500, 0.500, 0.662]], "e_form_ev_per_atom": -0.326, "total_magnetization_mub_per_cell": 0.0, "space_group": "P4/mmm"}

---

Which final energy belongs to each record? In order, -30.895 -34.853 -16.170 -17.790 eV for the cell shown.